1.
A relaxed Pr6AsBr8 crystal. Source: the Alexandria database, functional PBE.

Lattice parameters (Å, degrees): 7.474 7.474 11.541 71.11 71.11 60.00
Fractional positions:
Pr  0.741  0.051  0.847
Br  0.893  0.231  0.321
Br  0.769  0.445  0.679
Pr  0.259  0.949  0.153
Br  0.555  0.893  0.321
Br  0.333  0.333  0.000
Br  0.231  0.555  0.321
Pr  0.051  0.362  0.847
Br  0.445  0.107  0.679
Pr  0.949  0.638  0.153
Pr  0.638  0.259  0.153
Br  0.107  0.769  0.679
Pr  0.362  0.741  0.847
As  0.000  0.000  0.000
Br  0.667  0.667  0.000

Total energy: -4.66 eV per atom
Magnetization: 0.0 Bohr magnetons per cell
Crystal system: trigonal
DOS at the Fermi energy: 0.2555 states/eV/atom

2.
A relaxed Pr7AsBr12 crystal. Source: the Alexandria database, functional PBE.

Lattice parameters (Å, degrees): 9.550 9.550 9.550 107.92 107.92 107.92
Fractional positions:
Br  0.840  0.612  0.530
Br  0.612  0.530  0.840
Pr  0.110  0.033  0.325
Br  0.311  0.773  0.922
As  0.000  0.000  0.000
Br  0.922  0.311  0.773
Br  0.689  0.227  0.078
Pr  0.890  0.967  0.675
Br  0.773  0.922  0.311
Br  0.078  0.689  0.227
Pr  0.033  0.325  0.110
Pr  0.967  0.675  0.890
Pr  0.500  0.500  0.500
Br  0.160  0.388  0.470
Br  0.227  0.078  0.689
Pr  0.325  0.110  0.033
Br  0.388  0.470  0.160
Pr  0.675  0.890  0.967
Br  0.530  0.840  0.612
Br  0.470  0.160  0.388

Total energy: -4.63 eV per atom
Magnetization: 0.0 Bohr magnetons per cell
Crystal system: trigonal
DOS at the Fermi energy: 0.2027 states/eV/atom

3.
A relaxed Pr2AsBr2 crystal. Source: the Alexandria database, functional PBE.

Lattice parameters (Å, degrees): 4.273 4.273 11.079 78.88 78.88 60.00
Fractional positions:
Pr  0.615  0.615  0.154
As  0.000  0.000  0.000
Br  0.775  0.775  0.675
Pr  0.385  0.385  0.846
Br  0.225  0.225  0.325

Total energy: -5.23 eV per atom
Magnetization: 0.0 Bohr magnetons per cell
Crystal system: trigonal
DOS at the Fermi energy: 0.3983 states/eV/atom

4.
A relaxed Pr3AsBr3 crystal. Source: the Alexandria database, functional PBE.

Lattice parameters (Å, degrees): 10.489 10.489 10.489 109.47 109.47 109.47
Fractional positions:
Br  0.995  0.505  0.250
Pr  0.477  0.488  0.238
Pr  0.262  0.012  0.023
Pr  0.488  0.750  0.012
Pr  0.023  0.262  0.012
Br  0.505  0.755  0.510
Pr  0.238  0.262  0.750
Br  0.250  0.755  0.745
Br  0.755  0.745  0.250
Pr  0.750  0.012  0.488
Br  0.745  0.995  0.990
Br  0.755  0.510  0.505
Pr  0.012  0.488  0.750
Pr  0.238  0.477  0.488
Br  0.990  0.745  0.995
Br  0.745  0.250  0.755
Pr  0.750  0.238  0.262
Br  0.510  0.505  0.755
Br  0.505  0.250  0.995
As  0.500  0.000  0.250
Br  0.250  0.995  0.505
Pr  0.012  0.023  0.262
As  0.250  0.250  0.250
As  0.000  0.250  0.500
Pr  0.262  0.750  0.238
Br  0.995  0.990  0.745
As  0.250  0.500  0.000
Pr  0.488  0.238  0.477

Total energy: -5.03 eV per atom
Magnetization: 0.0 Bohr magnetons per cell
Crystal system: cubic
DOS at the Fermi energy: 0.3069 states/eV/atom

5.
A relaxed Pr4As3Br crystal. Source: the Alexandria database, functional PBE.

Lattice parameters (Å, degrees): 4.299 7.489 7.489 70.83 90.00 90.00
Fractional positions:
Pr  0.500  0.242  0.741
Pr  0.000  0.770  0.730
Pr  0.000  0.230  0.270
As  0.500  0.000  0.500
As  0.000  0.500  0.500
As  0.000  0.000  0.000
Pr  0.500  0.759  0.259
Br  0.500  0.500  0.000

Total energy: -5.84 eV per atom
Magnetization: 0.0 Bohr magnetons per cell
Crystal system: orthorhombic
DOS at the Fermi energy: 0.3611 states/eV/atom

6.
A relaxed Pr4AsPtBr2 crystal. Source: the Alexandria database, functional PBE.

Lattice parameters (Å, degrees): 4.199 7.690 7.717 107.69 90.00 90.00
Fractional positions:
As  0.500  0.500  0.000
Pr  0.000  0.738  0.216
Br  0.000  0.500  0.500
Br  0.500  0.000  0.500
Pt  0.000  0.000  0.000
Pr  0.500  0.222  0.207
Pr  0.500  0.778  0.793
Pr  0.000  0.262  0.784

Total energy: -5.44 eV per atom
Magnetization: 0.0 Bohr magnetons per cell
Crystal system: monoclinic
DOS at the Fermi energy: 0.7453 states/eV/atom